# 1
Density functional theory data (GGA-PBE) for Mn2CoTcH after structural relaxation.

Lattice parameters (Å, degrees): 3.6830 3.6830 3.5940 90.00 90.00 90.00
Closest atoms and distances in Å follow each position.
Element x y z (fractional)
Mn 0.5000 0.0000 0.0000  2 H 1.84
Co 0.0000 0.0000 0.5000  2 H 1.80
H 0.0000 0.0000 0.0000  2 Co 1.80, 4 Mn 1.84
Tc 0.5000 0.5000 0.5000  8 Mn 2.57, 4 Co 2.60
Mn 0.0000 0.5000 0.0000  2 H 1.84

Total energy: -7.823 eV per atom
Relative energy among the computed polymorphs: 0 meV/atom
Magnetization: 1.254 μB/f.u.

---

# 2
Density functional theory data (GGA-PBE) for Mn2CoTcH after structural relaxation.

Lattice parameters (Å, degrees): 3.6393 3.6393 3.7633 90.00 90.00 90.00
Closest atoms and distances in Å follow each position.
Element x y z (fractional)
Tc 0.0000 0.0000 0.5000  2 H 1.88
Mn 0.0000 0.5000 0.0000  2 H 1.82
Mn 0.5000 0.0000 0.0000  2 H 1.82
Co 0.5000 0.5000 0.5000  4 Tc 2.57, 8 Mn 2.62
H 0.0000 0.0000 0.0000  4 Mn 1.82, 2 Tc 1.88

Total energy: -7.762 eV per atom
Relative energy among the computed polymorphs: 61 meV/atom
Magnetization: 1.436 μB/f.u.

---

# 3
Density functional theory data (GGA-PBE) for MnCoTc2H after structural relaxation.

Lattice parameters (Å, degrees): 3.8266 3.8266 3.6879 90.00 90.00 90.00
Closest atoms and distances in Å follow each position.
Element x y z (fractional)
H 0.0000 0.0000 0.0000  2 Mn 1.84, 4 Tc 1.91
Tc 0.0000 0.5000 0.0000  2 H 1.91
Mn 0.0000 0.0000 0.5000  2 H 1.84
Tc 0.5000 0.0000 0.0000  2 H 1.91
Co 0.5000 0.5000 0.5000  8 Tc 2.66, 4 Mn 2.71

Total energy: -8.001 eV per atom
Relative energy among the computed polymorphs: 0 meV/atom
Magnetization: 0.517 μB/f.u.

---

# 4
Density functional theory data (GGA-PBE) for MnCoTc2H after structural relaxation.

Lattice parameters (Å, degrees): 3.8199 3.8199 3.5657 90.00 90.00 90.00
Closest atoms and distances in Å follow each position.
Element x y z (fractional)
Tc 0.5000 0.0000 0.0000  2 H 1.91
Co 0.0000 0.0000 0.5000  2 H 1.78
H 0.0000 0.0000 0.0000  2 Co 1.78, 4 Tc 1.91
Mn 0.5000 0.5000 0.5000  8 Tc 2.61, 4 Co 2.70
Tc 0.0000 0.5000 0.0000  2 H 1.91

Total energy: -7.978 eV per atom
Relative energy among the computed polymorphs: 23 meV/atom
Magnetization: 0.000 μB/f.u.

---

# 5
Density functional theory data (GGA-PBE) for Ti2MnCoH after structural relaxation.

Lattice parameters (Å, degrees): 4.1513 4.1513 3.1889 90.00 90.00 90.00
Closest atoms and distances in Å follow each position.
Element x y z (fractional)
H 0.0000 0.0000 0.0000  2 Co 1.59
Ti 0.5000 0.0000 0.0000  2 H 2.08
Mn 0.5000 0.5000 0.5000  8 Ti 2.62
Ti 0.0000 0.5000 0.0000  2 H 2.08
Co 0.0000 0.0000 0.5000  2 H 1.59

Total energy: -7.397 eV per atom
Relative energy among the computed polymorphs: 0 meV/atom
Magnetization: 0.000 μB/f.u.

---

# 6
Density functional theory data (GGA-PBE) for Ti2MnCoH after structural relaxation.

Lattice parameters (Å, degrees): 4.1440 4.1440 3.2168 90.00 90.00 90.00
Closest atoms and distances in Å follow each position.
Element x y z (fractional)
Ti 0.0000 0.5000 0.0000  2 H 2.07
Co 0.5000 0.5000 0.5000  8 Ti 2.62, 4 Mn 2.93
H 0.0000 0.0000 0.0000  2 Mn 1.61
Ti 0.5000 0.0000 0.0000  2 H 2.07
Mn 0.0000 0.0000 0.5000  2 H 1.61

Total energy: -7.370 eV per atom
Relative energy among the computed polymorphs: 27 meV/atom
Magnetization: 0.204 μB/f.u.

---

# 7
Density functional theory data (GGA-PBE) for Mn2VCoH after structural relaxation.

Lattice parameters (Å, degrees): 3.7111 3.7111 3.4933 90.00 90.00 90.00
Closest atoms and distances in Å follow each position.
Element x y z (fractional)
H 0.0000 0.0000 0.0000  2 Co 1.75, 4 Mn 1.86
V 0.5000 0.5000 0.5000  8 Mn 2.55, 4 Co 2.62
Mn 0.5000 0.0000 0.0000  2 H 1.86
Mn 0.0000 0.5000 0.0000  2 H 1.86
Co 0.0000 0.0000 0.5000  2 H 1.75

Total energy: -7.649 eV per atom
Relative energy among the computed polymorphs: 0 meV/atom
Magnetization: 2.688 μB/f.u.

---

# 8
Density functional theory data (GGA-PBE) for MnV2CoH after structural relaxation.

Lattice parameters (Å, degrees): 3.8314 3.8314 3.4187 90.00 90.00 90.00
Closest atoms and distances in Å follow each position.
Element x y z (fractional)
V 0.5000 0.0000 0.0000  2 H 1.92
Co 0.5000 0.5000 0.5000  8 V 2.57, 4 Mn 2.71
Mn 0.0000 0.0000 0.5000  2 H 1.71
H 0.0000 0.0000 0.0000  2 Mn 1.71
V 0.0000 0.5000 0.0000  2 H 1.92

Total energy: -7.632 eV per atom
Relative energy among the computed polymorphs: 26 meV/atom
Magnetization: 0.536 μB/f.u.

---

# 9
Density functional theory data (GGA-PBE) for MnVCo2H after structural relaxation.

Lattice parameters (Å, degrees): 3.5635 3.5635 3.6769 90.00 90.00 90.00
Closest atoms and distances in Å follow each position.
Element x y z (fractional)
H 0.0000 0.0000 0.0000  4 Co 1.78, 2 Mn 1.84
V 0.5000 0.5000 0.5000  4 Mn 2.52, 8 Co 2.56
Mn 0.0000 0.0000 0.5000  2 H 1.84
Co 0.5000 0.0000 0.0000  2 H 1.78
Co 0.0000 0.5000 0.0000  2 H 1.78

Total energy: -7.296 eV per atom
Relative energy among the computed polymorphs: 0 meV/atom
Magnetization: 1.211 μB/f.u.

---

# 10
Density functional theory data (GGA-PBE) for Mn2VCoH after structural relaxation.

Lattice parameters (Å, degrees): 3.5982 3.5982 3.7072 90.00 90.00 90.00
Closest atoms and distances in Å follow each position.
Element x y z (fractional)
V 0.0000 0.0000 0.5000  2 H 1.85
Mn 0.5000 0.0000 0.0000  2 H 1.80
Co 0.5000 0.5000 0.5000  4 V 2.54, 8 Mn 2.58
Mn 0.0000 0.5000 0.0000  2 H 1.80
H 0.0000 0.0000 0.0000  4 Mn 1.80, 2 V 1.85

Total energy: -7.627 eV per atom
Relative energy among the computed polymorphs: 22 meV/atom
Magnetization: 2.433 μB/f.u.

---

# 11
Density functional theory data (GGA-PBE) for MnVCo2H after structural relaxation.

Lattice parameters (Å, degrees): 3.5446 3.5446 3.7485 90.00 90.00 90.00
Closest atoms and distances in Å follow each position.
Element x y z (fractional)
Co 0.0000 0.5000 0.0000  2 H 1.77
H 0.0000 0.0000 0.0000  4 Co 1.77, 2 V 1.87
Co 0.5000 0.0000 0.0000  2 H 1.77
V 0.0000 0.0000 0.5000  2 H 1.87
Mn 0.5000 0.5000 0.5000  4 V 2.51, 8 Co 2.58

Total energy: -7.275 eV per atom
Relative energy among the computed polymorphs: 21 meV/atom
Magnetization: 1.200 μB/f.u.

---

# 12
Density functional theory data (GGA-PBE) for MnV2CoH after structural relaxation.

Lattice parameters (Å, degrees): 3.9161 3.9161 3.2469 90.00 90.00 90.00
Closest atoms and distances in Å follow each position.
Element x y z (fractional)
V 0.5000 0.0000 0.0000  2 H 1.96
V 0.0000 0.5000 0.0000  2 H 1.96
Co 0.0000 0.0000 0.5000  2 H 1.62
H 0.0000 0.0000 0.0000  2 Co 1.62
Mn 0.5000 0.5000 0.5000  8 V 2.54, 4 Co 2.77

Total energy: -7.657 eV per atom
Relative energy among the computed polymorphs: 0 meV/atom
Magnetization: 0.000 μB/f.u.